Crystalline SrLa2Y at its relaxed geometry, computed with GGA-PBE.

Cell: 3.791 3.791 10.919 Å, 90.00 90.00 90.00°
Atoms (fractional coordinates):
Sr1 0.500 0.500 0.250
Y1 0.500 0.500 0.750
La1 0.000 0.000 0.974
La2 0.000 0.000 0.526

- VASP energy (eV/atom) = -4.413
- total moment (μB per formula unit) = 0.00
- E above lowest polymorph (meV per atom) = 11
- ΔH_f (0 K) (kcal/mol of atoms) = 2.02


Crystalline SrLaY2 at its relaxed geometry, computed with GGA-PBE.

Cell: 6.445 6.445 6.598 Å, 80.97 80.97 33.56°
Atoms (fractional coordinates):
La1 0.493 0.493 0.526
Y1 0.749 0.749 0.747
Y2 0.007 0.007 0.982
Sr1 0.250 0.250 0.245

- VASP energy (eV/atom) = -4.746
- total moment (μB per formula unit) = 0.00
- E above lowest polymorph (meV per atom) = 32
- ΔH_f (0 K) (kcal/mol of atoms) = 3.20


Crystalline SrLaY2 at its relaxed geometry, computed with GGA-PBE.

Cell: 3.748 5.243 7.632 Å, 90.00 90.00 90.00°
Atoms (fractional coordinates):
La1 0.500 0.500 0.250
Sr1 0.500 0.500 0.750
Y1 0.000 0.000 0.480
Y2 0.000 0.000 0.020

- VASP energy (eV/atom) = -4.732
- total moment (μB per formula unit) = 0.00
- E above lowest polymorph (meV per atom) = 45
- ΔH_f (0 K) (kcal/mol of atoms) = 3.50


Crystalline Sr2LaY at its relaxed geometry, computed with GGA-PBE.

Cell: 7.433 7.433 7.433 Å, 147.01 130.60 60.69°
Atoms (fractional coordinates):
La1 0.250 0.750 0.500
Sr1 0.992 0.992 0.000
Sr2 0.508 0.508 0.000
Y1 0.750 0.250 0.500

- VASP energy (eV/atom) = -3.487
- total moment (μB per formula unit) = 0.01
- E above lowest polymorph (meV per atom) = 113
- ΔH_f (0 K) (kcal/mol of atoms) = 4.66


Repeat the first record exactly.
Crystalline SrLa2Y at its relaxed geometry, computed with GGA-PBE.

Cell: 3.791 3.791 10.919 Å, 90.00 90.00 90.00°
Atoms (fractional coordinates):
Sr1 0.500 0.500 0.250
Y1 0.500 0.500 0.750
La1 0.000 0.000 0.974
La2 0.000 0.000 0.526

- VASP energy (eV/atom) = -4.413
- total moment (μB per formula unit) = 0.00
- E above lowest polymorph (meV per atom) = 11
- ΔH_f (0 K) (kcal/mol of atoms) = 2.02